# 1
Below is a relaxed structure of Bi3OsI, with properties calculated at the PBE-GGA level.

```
5
Lattice="-2.2572 -4.9214 0.4059 4.2758 -2.1711 -2.5464 2.4704 -0.7389 4.7782" Properties=species:S:1:pos:R:3 pbc="T T T"
Os 0.0000 0.0000 0.0000
I 2.2445 -3.9157 1.3189
Bi -1.1286 -2.4607 0.2030
Bi 2.1379 -1.0856 -1.2732
Bi 1.2352 -0.3695 2.3891
```

**Total DFT energy (no corrections)**: -4.2657 eV per atom
**Volume**: 32.01 Å³/atom
**Formation energy (no corrections)**: 0.62 eV per atom
**E above lowest polymorph**: 0 meV per atom


# 2
Below is a relaxed structure of BiOsI3, with properties calculated at the PBE-GGA level.

```
5
Lattice="-4.3295 2.8795 1.3450 -2.8369 -4.5261 0.5580 1.4327 -0.2606 5.1696" Properties=species:S:1:pos:R:3 pbc="T T T"
Bi -2.8669 -0.9537 3.5363
I -1.4184 -2.2631 0.2790
I 0.7163 -0.1303 2.5848
I -2.1648 1.4397 0.6725
Os 0.0000 0.0000 0.0000
```

**Total DFT energy (no corrections)**: -3.2610 eV per atom
**Volume**: 30.98 Å³/atom
**Formation energy (no corrections)**: 0.69 eV per atom
**E above lowest polymorph**: 0 meV per atom


# 3
Below is a relaxed structure of Bi2OsI2, with properties calculated at the PBE-GGA level.

```
5
Lattice="4.2409 0.0000 0.0000 0.0000 4.2409 0.0000 2.1205 2.1205 9.6201" Properties=species:S:1:pos:R:3 pbc="T T T"
I 4.2409 4.2409 7.9158
I 2.1205 2.1205 1.7042
Bi 4.2409 2.1205 4.8100
Bi 2.1205 4.2409 4.8100
Os 0.0000 0.0000 0.0000
```

**Total DFT energy (no corrections)**: -3.0597 eV per atom
**Volume**: 34.60 Å³/atom
**Formation energy (no corrections)**: 1.36 eV per atom
**E above lowest polymorph**: 527 meV per atom